No. 1
VASP calculation (PBEsol) on a geometry-optimized Li3GeSb structure.

Cell: 4.6794 4.6794 4.6794 Å, 90.00 90.00 90.00°
Closest atoms and distances in Å follow each position.
Fractional positions:
Li: 0.0000 0.0000 0.5000  2 Ge 2.34
Li: 0.5000 0.0000 0.0000  2 Ge 2.34
Li: 0.0000 0.5000 0.0000  2 Ge 2.34
Ge: 0.0000 0.0000 0.0000  6 Li 2.34
Sb: 0.5000 0.5000 0.5000  12 Li 3.31

- Formation energy from raw total energies: 59 meV/atom
- DOS(E_F): 2.5 states/eV/cell
- Theoretical density: 3.49 Mg/m³
- Total magnetic moment: 0.00 μB/f.u.

---

No. 2
VASP calculation (PBEsol) on a geometry-optimized TaTc2Br structure.

Cell: 2.9135 2.9135 8.9204 Å, 80.60 80.60 60.00°
Closest atoms and distances in Å follow each position.
Fractional positions:
Tc: 0.7445 0.7445 0.7664  3 Tc 2.57
Tc: 0.0042 0.0042 0.9874  3 Tc 2.57
Ta: 0.2484 0.2484 0.2549  3 Br 2.67, 3 Tc 2.88, 6 Ta 2.91
Br: 0.5029 0.5029 0.4914  3 Ta 2.67, 6 Br 2.91, 3 Tc 2.94

- Formation energy from raw total energies: 304 meV/atom
- DOS(E_F): 2.4 states/eV/cell
- Energy above the lowest structure with this stoichiometry: 0.0 kJ per mole of atoms
- Theoretical density: 11.78 Mg/m³
- Total magnetic moment: 0.00 μB/f.u.

---

No. 3
VASP calculation (PBEsol) on a geometry-optimized P2IrRuO structure.

Cell: 3.5372 4.6834 4.6834 Å, 90.00 90.00 90.00°
Closest atoms and distances in Å follow each position.
Fractional positions:
Ir: 0.0000 0.0000 0.0000  2 O 1.77
Ru: 0.5000 0.5000 0.5000  8 P 2.93
P: 0.0000 0.5000 0.0000  2 Ir 2.34
P: 0.0000 0.0000 0.5000  2 Ir 2.34
O: 0.5000 0.0000 0.0000  2 Ir 1.77

- Formation energy from raw total energies: 652 meV/atom
- DOS(E_F): 4.2 states/eV/cell
- Theoretical density: 7.95 Mg/m³
- Total magnetic moment: 0.00 μB/f.u.

---

No. 4
VASP calculation (PBEsol) on a geometry-optimized AlSb2TeIr structure.

Cell: 4.9942 4.9942 5.6318 Å, 90.00 90.00 90.00°
Closest atoms and distances in Å follow each position.
Fractional positions:
Al: 0.5000 0.5000 0.5000  4 Te 3.53, 8 Sb 3.76
Ir: 0.0000 0.0000 0.0000  4 Sb 2.50
Sb: 0.0000 0.5000 0.0000  2 Ir 2.50
Sb: 0.5000 0.0000 0.0000  2 Ir 2.50
Te: 0.0000 0.0000 0.5000  2 Ir 2.82

- Formation energy from raw total energies: 595 meV/atom
- DOS(E_F): 5.4 states/eV/cell
- Theoretical density: 6.98 Mg/m³
- Total magnetic moment: 0.00 μB/f.u.

---

no.,total energy (Ha/atom)
1,-0.1110
2,-0.3283
3,-0.2467
4,-0.1733